# Rb3Na3MgCl8

Rb3Na3MgCl8 after structural relaxation (GGA-PBE, Alexandria via LeMat-Bulk).

Calculated values
D(E_F)   0.0 states/eV per cell
Calculated total energy   -3.400 eV per atom

abc: 8.3392 8.3392 22.5164
angles: 90.00 90.00 120.00
With the nearest neighbours (Å) after each atom.
Space group R-3m (No. 166, hexagonal axes)
Inequivalent atoms, fractional coordinates:
Rb1 0.0000 0.5000 0.0000 (multiplicity 9)  6 Cl 3.26
Na1 0.0000 0.5000 0.5000 (multiplicity 9)  6 Cl 2.87-2.92
Mg1 0.0000 0.0000 0.5000 (multiplicity 3)  6 Cl 2.58
Cl1 0.0000 0.0000 0.2360 (multiplicity 6)  3 Na 2.87
Cl2 0.0363 0.5181 0.2301 (multiplicity 18)  1 Mg 2.58


# Rb2NaMgCl5

Rb2NaMgCl5 after structural relaxation (GGA-PBE, Alexandria via LeMat-Bulk).

Calculated values
D(E_F)   0.0 states/eV per cell
Calculated total energy   -3.416 eV per atom

abc: 4.0415 18.1137 14.8164
angles: 90.00 90.00 90.00
With the nearest neighbours (Å) after each atom.
Space group Cmc2_1 (No. 36)
Inequivalent atoms, fractional coordinates:
Rb1 0.0000 0.0853 0.0000 (multiplicity 4)  6 Cl 3.22-3.40
Rb2 0.0000 0.1443 0.6399 (multiplicity 4)  7 Cl 3.27-3.56
Na1 0.0000 0.4453 0.7920 (multiplicity 4)  4 Cl 2.61-2.73
Mg1 0.0000 0.2222 0.3711 (multiplicity 4)  6 Cl 2.49-2.67
Cl1 0.0000 0.0848 0.4034 (multiplicity 4)  1 Mg 2.53, 2 Na 2.67
Cl2 0.0000 0.2641 0.9874 (multiplicity 4)  2 Mg 2.67
Cl3 0.0000 0.2972 0.7599 (multiplicity 4)  2 Mg 2.63, 1 Na 2.73
Cl4 0.0000 0.3568 0.3374 (multiplicity 4)  1 Mg 2.49
Cl5 0.0000 0.4975 0.1304 (multiplicity 4)  1 Na 2.61